[1]
{"formula": "Tb12Sm2Er5", "functional": "PBE", "state": "optimized geometry", "lattice": [[7.867, -4.603, 0.000], [7.867, 4.603, 0.000], [-0.151, 0.000, 8.530]], "species": ["Tb", "Tb", "Tb", "Tb", "Tb", "Tb", "Tb", "Tb", "Tb", "Tb", "Tb", "Tb", "Sm", "Sm", "Er", "Er", "Er", "Er", "Er"], "frac_coords": [[0.059, 0.059, 0.333], [0.066, 0.681, 0.342], [0.163, 0.526, 0.758], [0.319, 0.934, 0.658], [0.408, 0.408, 0.117], [0.474, 0.837, 0.242], [0.526, 0.163, 0.758], [0.592, 0.592, 0.883], [0.681, 0.066, 0.342], [0.837, 0.474, 0.242], [0.934, 0.319, 0.658], [0.941, 0.941, 0.667], [0.180, 0.820, 0.000], [0.820, 0.180, 0.000], [0.198, 0.198, 0.012], [0.269, 0.269, 0.426], [0.500, 0.500, 0.500], [0.731, 0.731, 0.574], [0.802, 0.802, 0.988]], "dos_ef_per_ev_atom": 1.4607, "e_above_lowest_polymorph_ev_per_atom": 0.000, "dft_energy_ev_per_atom": -4.49, "formation_enthalpy_0k_ev_per_atom": 0.131}

---

[2]
{"formula": "Tb4SmEr2", "functional": "PBE", "state": "optimized geometry", "lattice": [[16.686, 0.000, 0.000], [0.000, 3.523, 0.000], [-4.274, 0.000, 7.614]], "species": ["Tb", "Tb", "Tb", "Tb", "Tb", "Tb", "Tb", "Tb", "Sm", "Sm", "Er", "Er", "Er", "Er"], "frac_coords": [[0.140, 0.000, 0.332], [0.205, 0.000, 0.794], [0.295, 0.500, 0.206], [0.360, 0.500, 0.668], [0.640, 0.500, 0.332], [0.705, 0.500, 0.794], [0.795, 0.000, 0.206], [0.860, 0.000, 0.668], [0.000, 0.500, 0.500], [0.500, 0.000, 0.500], [0.071, 0.500, 0.930], [0.429, 0.000, 0.070], [0.571, 0.000, 0.930], [0.929, 0.500, 0.070]], "dos_ef_per_ev_atom": 1.5092, "e_above_lowest_polymorph_ev_per_atom": 0.000, "dft_energy_ev_per_atom": -4.59, "formation_enthalpy_0k_ev_per_atom": 0.034}

---

[3]
{"formula": "Tb5Sm5Er", "functional": "PBE", "state": "optimized geometry", "lattice": [[6.110, 0.000, 0.000], [-3.055, 5.292, 0.000], [0.000, 0.000, 11.623]], "species": ["Tb", "Tb", "Tb", "Tb", "Tb", "Sm", "Sm", "Sm", "Sm", "Sm", "Er"], "frac_coords": [[0.000, 0.000, 0.235], [0.000, 0.000, 0.765], [0.336, 0.168, 0.000], [0.832, 0.168, 0.000], [0.832, 0.664, 0.000], [0.000, 0.000, 0.500], [0.333, 0.667, 0.183], [0.333, 0.667, 0.817], [0.667, 0.333, 0.345], [0.667, 0.333, 0.655], [0.333, 0.667, 0.500]], "dos_ef_per_ev_atom": 1.7426, "dft_energy_ev_per_atom": -4.36, "formation_enthalpy_0k_ev_per_atom": 0.308}

---

[4]
{"formula": "Tb2Sm2Er", "functional": "PBE", "state": "optimized geometry", "lattice": [[-1.799, 2.856, 15.965], [1.799, -2.856, 15.965], [1.799, 2.856, -15.965]], "species": ["Tb", "Tb", "Tb", "Tb", "Sm", "Sm", "Sm", "Sm", "Er", "Er"], "frac_coords": [[0.271, 0.021, 0.250], [0.369, 0.119, 0.250], [0.631, 0.881, 0.750], [0.729, 0.979, 0.750], [0.059, 0.809, 0.250], [0.457, 0.707, 0.750], [0.543, 0.293, 0.250], [0.941, 0.191, 0.750], [0.173, 0.423, 0.750], [0.827, 0.577, 0.250]], "dos_ef_per_ev_atom": 1.4308, "e_above_lowest_polymorph_ev_per_atom": 0.123, "dft_energy_ev_per_atom": -4.51, "formation_enthalpy_0k_ev_per_atom": 0.141}

---

[5]
{"formula": "Tb2Sm5Er12", "functional": "PBE", "state": "optimized geometry", "lattice": [[8.068, -4.526, 0.000], [8.068, 4.526, 0.000], [-0.254, 0.000, 8.366]], "species": ["Tb", "Tb", "Sm", "Sm", "Sm", "Sm", "Sm", "Er", "Er", "Er", "Er", "Er", "Er", "Er", "Er", "Er", "Er", "Er", "Er"], "frac_coords": [[0.215, 0.785, 0.000], [0.785, 0.215, 0.000], [0.000, 0.000, 0.500], [0.247, 0.247, 0.552], [0.352, 0.352, 0.052], [0.648, 0.648, 0.948], [0.753, 0.753, 0.448], [0.018, 0.611, 0.779], [0.159, 0.159, 0.873], [0.184, 0.600, 0.386], [0.389, 0.982, 0.221], [0.400, 0.816, 0.614], [0.447, 0.447, 0.715], [0.553, 0.553, 0.285], [0.600, 0.184, 0.386], [0.611, 0.018, 0.779], [0.816, 0.400, 0.614], [0.841, 0.841, 0.127], [0.982, 0.389, 0.221]], "dos_ef_per_ev_atom": 1.4602, "e_above_lowest_polymorph_ev_per_atom": 0.079, "dft_energy_ev_per_atom": -4.47, "formation_enthalpy_0k_ev_per_atom": 0.142}

---

[6]
{"formula": "TbSmEr", "functional": "PBE", "state": "optimized geometry", "lattice": [[3.565, 0.000, 0.000], [-1.783, 3.088, 0.000], [0.000, 0.000, 8.711]], "species": ["Tb", "Sm", "Er"], "frac_coords": [[0.000, 0.000, 0.000], [0.333, 0.667, 0.661], [0.667, 0.333, 0.328]], "dos_ef_per_ev_atom": 1.4076, "e_above_lowest_polymorph_ev_per_atom": 0.000, "dft_energy_ev_per_atom": -4.62, "formation_enthalpy_0k_ev_per_atom": 0.018}

---

[7]
{"formula": "Tb4Sm4Er", "functional": "PBE", "state": "optimized geometry", "lattice": [[5.577, 0.000, 0.000], [-0.004, 6.859, 0.000], [-2.776, -3.204, 7.741]], "species": ["Tb", "Tb", "Tb", "Tb", "Sm", "Sm", "Sm", "Sm", "Er"], "frac_coords": [[0.075, 0.381, 0.148], [0.369, 0.309, 0.739], [0.631, 0.691, 0.261], [0.925, 0.619, 0.852], [0.133, 0.963, 0.265], [0.281, 0.711, 0.564], [0.719, 0.289, 0.436], [0.867, 0.037, 0.735], [0.500, 0.000, 0.000]], "dos_ef_per_ev_atom": 1.6695, "e_above_lowest_polymorph_ev_per_atom": 0.088, "dft_energy_ev_per_atom": -4.56, "formation_enthalpy_0k_ev_per_atom": 0.105}

---

[8]
{"formula": "Tb8Sm4Er3", "functional": "PBE", "state": "optimized geometry", "lattice": [[6.705, -6.391, 0.000], [6.705, 6.391, 0.000], [-3.391, 0.000, 5.851]], "species": ["Tb", "Tb", "Tb", "Tb", "Tb", "Tb", "Tb", "Tb", "Sm", "Sm", "Sm", "Sm", "Er", "Er", "Er"], "frac_coords": [[0.140, 0.860, 0.000], [0.229, 0.229, 0.457], [0.235, 0.235, 0.986], [0.245, 0.755, 0.500], [0.755, 0.245, 0.500], [0.765, 0.765, 0.014], [0.771, 0.771, 0.543], [0.860, 0.140, 0.000], [0.000, 0.500, 0.500], [0.500, 0.000, 0.500], [0.500, 0.500, 0.000], [0.500, 0.500, 0.500], [0.000, 0.000, 0.500], [0.000, 0.500, 0.000], [0.500, 0.000, 0.000]], "dos_ef_per_ev_atom": 1.9681, "dft_energy_ev_per_atom": -4.26, "formation_enthalpy_0k_ev_per_atom": 0.376}

---

[9]
{"formula": "Tb4SmEr5", "functional": "PBE", "state": "optimized geometry", "lattice": [[8.546, -1.758, 0.000], [8.546, 1.758, 0.000], [-0.035, 0.000, 10.927]], "species": ["Tb", "Tb", "Tb", "Tb", "Sm", "Er", "Er", "Er", "Er", "Er"], "frac_coords": [[0.028, 0.028, 0.248], [0.347, 0.347, 0.250], [0.653, 0.653, 0.750], [0.972, 0.972, 0.752], [0.500, 0.500, 0.500], [0.173, 0.173, 0.050], [0.174, 0.174, 0.447], [0.500, 0.500, 0.000], [0.826, 0.826, 0.553], [0.827, 0.827, 0.950]], "dos_ef_per_ev_atom": 1.2872, "e_above_lowest_polymorph_ev_per_atom": 0.000, "dft_energy_ev_per_atom": -4.42, "formation_enthalpy_0k_ev_per_atom": 0.190}

---

[10]
{"formula": "Tb3Sm2Er7", "functional": "PBE", "state": "optimized geometry", "lattice": [[6.293, 0.000, 0.000], [0.000, 3.501, 0.000], [-1.879, 0.000, 17.254]], "species": ["Tb", "Tb", "Tb", "Sm", "Sm", "Er", "Er", "Er", "Er", "Er", "Er", "Er"], "frac_coords": [[0.000, 0.000, 0.000], [0.049, 0.500, 0.658], [0.951, 0.500, 0.342], [0.440, 0.000, 0.326], [0.560, 0.000, 0.674], [0.226, 0.500, 0.164], [0.245, 0.000, 0.501], [0.274, 0.000, 0.834], [0.500, 0.500, 0.000], [0.726, 0.000, 0.166], [0.755, 0.000, 0.499], [0.774, 0.500, 0.836]], "dos_ef_per_ev_atom": 1.4491, "e_above_lowest_polymorph_ev_per_atom": 0.000, "dft_energy_ev_per_atom": -4.52, "formation_enthalpy_0k_ev_per_atom": 0.083}

---

[11]
{"formula": "Tb4SmEr7", "functional": "PBE", "state": "optimized geometry", "lattice": [[6.485, 0.000, 0.000], [0.998, 6.694, 0.000], [2.050, 0.456, 8.731]], "species": ["Tb", "Tb", "Tb", "Tb", "Sm", "Er", "Er", "Er", "Er", "Er", "Er", "Er"], "frac_coords": [[0.138, 0.308, 0.287], [0.336, 0.885, 0.689], [0.664, 0.115, 0.311], [0.862, 0.692, 0.713], [0.500, 0.500, 0.000], [0.016, 0.249, 0.949], [0.182, 0.800, 0.358], [0.311, 0.393, 0.613], [0.500, 0.000, 0.000], [0.689, 0.607, 0.387], [0.818, 0.200, 0.642], [0.984, 0.751, 0.051]], "dos_ef_per_ev_atom": 1.6719, "e_above_lowest_polymorph_ev_per_atom": 0.000, "dft_energy_ev_per_atom": -4.51, "formation_enthalpy_0k_ev_per_atom": 0.087}

---

[12]
{"formula": "Tb3Sm2Er2", "functional": "PBE", "state": "optimized geometry", "lattice": [[11.794, 0.000, 0.000], [0.000, 3.563, 0.000], [-1.077, 0.000, 10.651]], "species": ["Tb", "Tb", "Tb", "Tb", "Tb", "Tb", "Sm", "Sm", "Sm", "Sm", "Er", "Er", "Er", "Er"], "frac_coords": [[0.000, 0.000, 0.000], [0.143, 0.000, 0.571], [0.357, 0.500, 0.429], [0.500, 0.500, 0.000], [0.643, 0.500, 0.571], [0.857, 0.000, 0.429], [0.215, 0.500, 0.856], [0.285, 0.000, 0.144], [0.715, 0.000, 0.856], [0.785, 0.500, 0.144], [0.071, 0.500, 0.287], [0.429, 0.000, 0.713], [0.571, 0.000, 0.287], [0.929, 0.500, 0.713]], "dos_ef_per_ev_atom": 1.2717, "e_above_lowest_polymorph_ev_per_atom": 0.000, "dft_energy_ev_per_atom": -4.62, "formation_enthalpy_0k_ev_per_atom": 0.017}